(1)
VASP calculation (PBE-GGA) on crystalline BCl at its relaxed geometry.

## Properties
The value obtained for the uncorrected formation energy is -0.1497 eV per atom.

Cell and atoms, written as extended XYZ:
```
16
Lattice="13.524 0.000 0.000 0.000 8.688 0.000 0.000 0.000 3.095" Properties=species:S:1:pos:R:3 pbc="T T T"
B 1.937 7.775 2.219
B 8.699 5.257 0.876
B 11.587 3.431 2.423
B 4.825 0.913 0.672
B 5.556 0.579 2.219
B 12.318 3.765 0.876
B 7.968 4.923 2.423
B 1.206 8.109 0.672
Cl 10.296 5.976 0.876
Cl 3.534 7.056 2.219
Cl 3.228 1.632 0.672
Cl 9.990 2.712 2.423
Cl 6.351 4.253 2.422
Cl 13.113 0.091 0.673
Cl 7.173 8.597 2.220
Cl 0.411 4.435 0.875
```

(2)
VASP calculation (PBE-GGA) on crystalline ScSnCl at its relaxed geometry.

## Properties
The value obtained for the uncorrected formation energy is -1.0906 eV per atom.

Cell and atoms, written as extended XYZ:
```
6
Lattice="-1.541 0.119 2.999 4.225 -3.769 2.320 4.576 4.666 4.064" Properties=species:S:1:pos:R:3 pbc="T T T"
Sc 2.520 -0.245 3.202
Sc 4.740 1.261 6.181
Sn -0.489 -0.779 3.575
Sn 7.748 1.796 5.808
Cl 2.386 1.637 4.957
Cl 4.874 -0.621 4.426
```

(3)
VASP calculation (PBE-GGA) on crystalline SrHfTaO6 at its relaxed geometry.

## Properties
The value obtained for the uncorrected formation energy is -2.8972 eV per atom.

Cell and atoms, written as extended XYZ:
```
18
Lattice="5.483 0.000 0.000 -2.742 4.748 0.000 0.000 0.000 10.539" Properties=species:S:1:pos:R:3 pbc="T T T"
Sr 0.000 0.000 0.000
Sr 0.000 0.000 5.270
Hf 0.000 3.166 2.635
Hf 2.742 1.583 7.904
Ta 2.742 1.583 2.635
Ta 0.000 3.166 7.904
O 1.756 2.936 1.532
O 4.406 1.760 1.532
O -0.679 4.696 6.802
O -1.665 2.988 9.007
O 1.077 1.760 3.737
O 3.727 2.936 3.737
O 0.679 4.696 9.007
O 3.420 0.052 3.737
O -0.986 1.813 6.802
O 2.063 0.052 1.532
O 1.665 2.988 6.802
O 0.986 1.813 9.007
```

(4)
VASP calculation (PBE-GGA) on crystalline Ac2Pr2Au at its relaxed geometry.

## Properties
As for the final energy: -4.501 eV/atom.

Cell and atoms, written as extended XYZ:
```
5
Lattice="3.834 0.000 -0.615 -0.099 3.833 -0.615 -0.010 -0.010 12.193" Properties=species:S:1:pos:R:3 pbc="T T T"
Ac 2.171 2.228 1.277
Ac 1.554 1.595 9.685
Pr 2.985 3.063 6.350
Pr 0.740 0.759 4.613
Au 0.000 0.000 0.000
```

(5)
VASP calculation (PBE-GGA) on crystalline LaGdEr at its relaxed geometry.

## Properties
As for the final energy: -7.781 eV/atom.

Cell and atoms, written as extended XYZ:
```
3
Lattice="3.501 0.000 0.000 0.000 5.724 0.000 0.000 -2.862 4.957" Properties=species:S:1:pos:R:3 pbc="T T T"
Gd 2.334 2.862 1.652
La 0.581 0.000 0.000
Er 0.586 0.000 3.305
```

(6)
VASP calculation (PBE-GGA) on crystalline ZrIr2Au at its relaxed geometry.

## Properties
As for the final energy: -7.614 eV/atom.

Cell and atoms, written as extended XYZ:
```
4
Lattice="3.503 0.000 0.000 0.000 3.503 0.000 0.000 0.000 5.695" Properties=species:S:1:pos:R:3 pbc="T T T"
Au 1.751 1.751 4.308
Ir 0.000 0.000 0.185
Ir 1.751 1.751 1.306
Zr 0.000 0.000 2.744
```

(7)
VASP calculation (PBE-GGA) on crystalline KRh5S8 at its relaxed geometry.

## Properties
The value obtained for the uncorrected formation energy is -0.5368 eV per atom.

Cell and atoms, written as extended XYZ:
```
14
Lattice="-3.002 -0.679 1.755 2.615 -8.066 1.354 4.491 5.383 6.186" Properties=species:S:1:pos:R:3 pbc="T T T"
K 4.294 1.002 7.733
Rh 3.548 -2.421 5.132
Rh 0.556 -0.939 4.164
Rh 2.143 3.156 4.887
Rh 1.960 -6.516 4.410
Rh 0.000 0.000 0.001
S 1.808 1.173 3.545
S 2.296 -4.532 5.751
S 2.314 -2.118 3.139
S 1.790 -1.242 6.157
S 2.647 -5.812 2.279
S 1.457 2.453 7.017
S 4.795 -2.776 7.128
S -0.691 -0.584 2.169
```

(8)
VASP calculation (PBE-GGA) on crystalline Sr3In3Ag8 at its relaxed geometry.

## Properties
As for the final energy: -2.835 eV/atom.

Cell and atoms, written as extended XYZ:
```
14
Lattice="-3.614 -1.681 -2.750 -7.129 -0.244 5.255 -5.563 7.128 -1.309" Properties=species:S:1:pos:R:3 pbc="T T T"
Sr -9.943 4.160 1.998
Sr -6.363 1.044 -0.803
Sr 0.000 0.000 0.000
In -6.346 3.442 1.973
In -12.690 5.672 0.420
In -3.616 -0.468 0.775
Ag -4.825 4.000 -0.367
Ag -11.481 1.204 1.562
Ag -10.762 4.419 -1.348
Ag -5.544 0.785 2.543
Ag -8.452 1.124 1.893
Ag -7.855 4.080 -0.698
Ag -3.121 1.596 -1.137
Ag -13.185 3.608 2.333
```

(9)
VASP calculation (PBE-GGA) on crystalline Ba2AlW at its relaxed geometry.

## Properties
As for the final energy: -4.336 eV/atom.

Cell and atoms, written as extended XYZ:
```
4
Lattice="-1.596 4.466 0.903 -1.314 -1.062 2.927 6.351 1.225 5.159" Properties=species:S:1:pos:R:3 pbc="T T T"
Ba 4.495 0.069 7.596
Ba 0.962 2.358 2.939
W 2.734 0.000 4.827
Al 2.806 2.447 5.757
```

(10)
VASP calculation (PBE-GGA) on crystalline CuSnBTe2 at its relaxed geometry.

## Properties
The value obtained for the uncorrected formation energy is 0.4635 eV per atom.

Cell and atoms, written as extended XYZ:
```
5
Lattice="-0.900 4.040 3.141 -3.948 -0.658 -0.286 0.227 -3.155 4.122" Properties=species:S:1:pos:R:3 pbc="T T T"
B 0.000 0.000 0.000
Te 0.113 -1.578 2.061
Te -0.450 2.020 1.571
Sn -2.311 0.114 3.489
Cu -1.974 -0.329 -0.143
```

(11)
VASP calculation (PBE-GGA) on crystalline PuHfTh at its relaxed geometry.

## Properties
As for the final energy: -10.398 eV/atom.

Cell and atoms, written as extended XYZ:
```
3
Lattice="3.329 0.000 0.000 0.000 5.254 0.000 0.000 -2.627 4.550" Properties=species:S:1:pos:R:3 pbc="T T T"
Hf 0.557 0.000 3.033
Th 2.220 2.627 1.517
Pu 0.552 0.000 0.000
```

(12)
VASP calculation (PBE-GGA) on crystalline LiPmGdGa at its relaxed geometry.

## Properties
As for the final energy: -6.250 eV/atom.

Cell and atoms, written as extended XYZ:
```
4
Lattice="5.194 0.000 0.000 2.597 4.498 0.000 2.597 1.499 4.241" Properties=species:S:1:pos:R:3 pbc="T T T"
Gd 5.194 2.999 2.121
Li 7.791 4.498 3.181
Ga 2.597 1.499 1.060
Pm 0.000 0.000 0.000
```

(13)
VASP calculation (PBE-GGA) on crystalline FeGeSb2I at its relaxed geometry.

## Properties
The value obtained for the uncorrected formation energy is 1.0950 eV per atom.

Cell and atoms, written as extended XYZ:
```
5
Lattice="-1.027 -4.619 -2.556 3.713 -2.483 2.996 -3.874 -1.231 3.781" Properties=species:S:1:pos:R:3 pbc="T T T"
I -1.937 -0.616 1.891
Sb 1.856 -1.242 1.498
Sb -0.513 -2.310 -1.278
Ge 0.000 0.000 0.000
Fe -0.594 -4.167 2.110
```

(14)
VASP calculation (PBE-GGA) on crystalline Co2PtBr at its relaxed geometry.

## Properties
The value obtained for the uncorrected formation energy is 0.2998 eV per atom.

Cell and atoms, written as extended XYZ:
```
4
Lattice="2.928 0.000 0.000 0.000 3.595 0.052 0.000 -0.095 6.658" Properties=species:S:1:pos:R:3 pbc="T T T"
Br 1.464 2.625 5.033
Co 0.000 2.690 0.509
Co 0.000 2.656 2.898
Pt 1.464 0.875 1.678
```

(15)
VASP calculation (PBE-GGA) on crystalline NbCdHg2 at its relaxed geometry.

## Properties
As for the final energy: -2.454 eV/atom.

Cell and atoms, written as extended XYZ:
```
4
Lattice="3.056 0.000 0.000 1.528 2.647 0.000 1.528 0.882 11.082" Properties=species:S:1:pos:R:3 pbc="T T T"
Nb 0.000 0.000 0.000
Hg 1.528 0.882 8.204
Hg 4.584 2.647 2.878
Cd 3.056 1.764 5.541
```

(16)
VASP calculation (PBE-GGA) on crystalline VCdOs at its relaxed geometry.

## Properties
As for the final energy: -6.901 eV/atom.

Cell and atoms, written as extended XYZ:
```
12
Lattice="-2.950 1.043 5.917 -1.651 -2.349 -0.409 8.197 -6.120 2.060" Properties=species:S:1:pos:R:3 pbc="T T T"
V 3.481 -2.780 1.913
V 6.754 -7.014 2.738
V 5.680 -4.512 2.982
V 0.756 -2.626 1.747
Os 0.008 -0.511 2.899
Os 3.281 -4.745 3.724
Os 2.247 -2.240 3.790
Os 5.520 -6.475 4.616
Cd 4.483 -4.258 6.351
Cd -0.441 -2.372 5.116
Cd -1.674 0.236 5.396
Cd 1.599 -3.998 6.222
```

(17)
VASP calculation (PBE-GGA) on crystalline KAsSe3O at its relaxed geometry.

## Properties
The value obtained for the uncorrected formation energy is -0.5319 eV per atom.

Cell and atoms, written as extended XYZ:
```
24
Lattice="3.499 9.764 -0.080 -3.499 9.764 -0.080 0.000 -0.098 10.517" Properties=species:S:1:pos:R:3 pbc="T T T"
K 0.015 8.240 1.173
K 0.015 11.239 3.780
K -0.015 11.190 9.038
K -0.015 8.191 6.431
As 0.299 15.743 4.253
As 0.298 3.736 0.701
As -0.298 3.687 5.960
As -0.299 15.694 9.512
Se 1.468 6.286 3.822
Se 1.468 13.192 1.132
Se -1.468 13.142 6.391
Se -1.468 6.237 9.081
Se 1.196 15.648 1.986
Se 1.196 3.831 2.969
Se -1.196 3.782 8.227
Se -1.196 15.599 7.244
Se -2.673 8.274 3.504
Se -2.673 11.205 1.448
Se 2.673 11.156 6.706
Se 2.673 8.225 8.763
O 1.072 8.717 9.241
O -1.072 8.767 3.983
O 1.073 10.663 6.226
O -1.073 10.712 0.968
```

(18)
VASP calculation (PBE-GGA) on crystalline NaIBr5 at its relaxed geometry.

## Properties
The value obtained for the uncorrected formation energy is -0.3896 eV per atom.

Cell and atoms, written as extended XYZ:
```
14
Lattice="-6.110 -2.271 3.325 3.563 -5.853 2.567 3.406 7.883 6.211" Properties=species:S:1:pos:R:3 pbc="T T T"
Na -3.081 -3.373 6.130
Na 3.940 3.133 5.973
I 0.000 0.000 0.000
I 0.430 -0.120 6.051
Br -1.200 -5.777 5.822
Br -2.207 0.357 6.335
Br 0.931 2.540 6.048
Br 0.224 -0.064 3.025
Br 1.239 -4.493 2.672
Br -0.380 4.253 9.431
Br 0.635 -0.177 9.078
Br -0.071 -2.780 6.055
Br 3.066 -0.597 5.768
Br 2.059 5.537 6.281
```

(19)
VASP calculation (PBE-GGA) on crystalline RbBi2H2 at its relaxed geometry.

## Properties
As for the final energy: -3.022 eV/atom.

Cell and atoms, written as extended XYZ:
```
5
Lattice="-5.790 -4.049 -0.777 4.751 -0.022 -1.712 3.599 -5.449 2.733" Properties=species:S:1:pos:R:3 pbc="T T T"
Rb 0.000 0.000 0.000
Bi -2.583 -5.688 0.677
Bi 5.144 -3.832 -0.433
H 2.683 -6.725 0.410
H -0.122 -2.795 -0.166
```

(20)
VASP calculation (PBE-GGA) on crystalline La2PmMg5 at its relaxed geometry.

## Properties
As for the final energy: -2.919 eV/atom.

Cell and atoms, written as extended XYZ:
```
8
Lattice="5.296 0.000 0.000 0.000 5.296 0.000 -2.648 -2.648 8.084" Properties=species:S:1:pos:R:3 pbc="T T T"
La 2.648 2.648 3.857
La 0.000 0.000 4.227
Pm 0.000 0.000 0.000
Mg 2.648 2.648 0.000
Mg 2.648 0.000 6.250
Mg 0.000 2.648 6.250
Mg 0.000 2.648 1.834
Mg 2.648 0.000 1.834
```

Taking the records one at a time from the top gives total moment values of 0.0000; 0.0004; 0.1198; 0.0000; 2.4578; 0.0000; 0.0000; 0.0000; 0.0001; 0.0000; 1.8929; 1.8985; 0.6467; 1.1428; 0.0000; 0.0001; 0.0000; 0.0000; 0.0000; 0.0000 μB per atom.